(1)
CuTc3 | GGA-PBEsol | relaxed

```
CuTc3
1.0
-1.391 2.294 -0.093
-0.826 -2.128 -1.411
-4.766 -2.616 6.733
Tc Cu
3 1
Cartesian
-4.588 -2.616 4.076 Tc
-2.206 -1.309 0.712 Tc
-2.383 -1.308 3.366 Tc
0.000 0.000 0.000 Cu
```

Computed properties:
crystal system: hexagonal
total moment: 0.0 μB/f.u.
formation enthalpy at 0 K: 0.14 eV/atom
D(E_F): 4.1 states/eV/cell



(2)
Cu2Tc | GGA-PBEsol | relaxed

```
Cu2Tc
1.0
-1.467 0.624 2.036
1.922 -1.709 0.266
4.035 4.765 1.448
Cu Tc
2 1
Cartesian
2.323 2.987 2.401 Cu
2.167 0.692 1.350 Cu
0.000 0.000 0.000 Tc
```

Computed properties:
crystal system: trigonal
total moment: 0.0 μB/f.u.
formation enthalpy at 0 K: 0.20 eV/atom
D(E_F): 2.1 states/eV/cell



(3)
CuTc3 | GGA-PBEsol | relaxed

```
CuTc3
1.0
4.335 0.000 0.000
0.000 5.306 0.000
0.000 -2.653 4.595
Tc Cu
6 2
Cartesian
1.084 2.653 3.057 Tc
1.084 3.974 0.769 Tc
1.084 1.332 0.769 Tc
3.252 0.000 1.538 Tc
3.252 1.321 3.826 Tc
3.252 -1.321 3.826 Tc
3.252 2.653 1.532 Cu
1.084 0.000 3.063 Cu
```

Computed properties:
crystal system: hexagonal
total moment: 0.0 μB/f.u.
formation enthalpy at 0 K: 0.08 eV/atom
D(E_F): 5.6 states/eV/cell



(4)
Cu2TcTe | GGA-PBEsol | relaxed

```
Cu2TcTe
1.0
3.207 0.000 0.000
0.000 4.172 -0.213
-1.603 -1.859 4.504
Cu Tc Te
2 1 1
Cartesian
0.000 0.113 2.167 Cu
1.603 2.200 2.125 Cu
0.000 2.086 -0.106 Tc
1.603 0.000 0.000 Te
```

Computed properties:
crystal system: orthorhombic
total moment: 0.0 μB/f.u.
formation energy without anion corrections: 435 meV per atom
D(E_F): 3.6 states/eV/cell



(5)
TlCu2TcTe | GGA-PBEsol | relaxed

```
TlCu2TcTe
1.0
4.700 0.000 0.000
0.000 4.700 0.000
0.000 0.000 5.177
Cu Tc Tl Te
2 1 1 1
Cartesian
2.350 0.000 0.000 Cu
0.000 2.350 0.000 Cu
0.000 0.000 0.000 Tc
0.000 0.000 2.588 Tl
2.350 2.350 2.588 Te
```

Computed properties:
crystal system: tetragonal
total moment: 2.0 μB/f.u.
formation energy without anion corrections: 1216 meV per atom
D(E_F): 5.2 states/eV/cell



(6)
Th2CuTc | GGA-PBEsol | relaxed

```
Th2CuTc
1.0
4.977 0.000 0.000
2.488 4.310 0.000
2.488 1.437 4.063
Th Tc Cu
2 1 1
Cartesian
2.488 1.437 1.016 Th
7.465 4.310 3.048 Th
0.000 0.000 0.000 Tc
4.977 2.873 2.032 Cu
```

Computed properties:
crystal system: cubic
total moment: 0.0 μB/f.u.
formation enthalpy at 0 K: -0.01 eV/atom
D(E_F): 4.4 states/eV/cell



(7)
Ti2CuTc | GGA-PBEsol | relaxed

```
Ti2CuTc
1.0
-3.920 -1.738 -0.455
-1.227 -3.251 2.553
-3.009 0.647 3.020
Cu Tc Ti
1 1 2
Cartesian
0.000 0.000 0.000 Cu
-4.078 -2.171 2.559 Tc
-2.039 -1.086 1.280 Ti
-6.117 -3.257 3.839 Ti
```

Computed properties:
crystal system: cubic
total moment: 0.0 μB/f.u.
formation enthalpy at 0 K: -0.29 eV/atom
D(E_F): 4.1 states/eV/cell



(8)
TiCuTc3 | GGA-PBEsol | relaxed

```
TiCuTc3
1.0
4.407 0.000 0.000
0.000 4.407 0.000
0.000 0.000 4.407
Cu Tc Ti
1 3 1
Cartesian
2.204 2.204 2.204 Cu
0.000 0.000 2.204 Tc
0.000 2.204 0.000 Tc
2.204 0.000 0.000 Tc
0.000 0.000 0.000 Ti
```

Computed properties:
crystal system: cubic
total moment: 0.0 μB/f.u.
formation enthalpy at 0 K: 1.65 eV/atom
D(E_F): 6.1 states/eV/cell